! GGA-PBE LaPmAs2Pd2, optimized geometry; values from VASP
! - Fermi-level density of states: 0.19 states/eV per atom
! - Final energy: -36.71 eV for the cell shown
! - Space-group type: P-3m1 (164)
&SYSTEM
  ibrav = 0, nat = 6, ntyp = 4
/
ATOMIC_SPECIES
La 138.91 La.upf
Pd 106.42 Pd.upf
As 74.92 As.upf
Pm 145.00 Pm.upf
CELL_PARAMETERS angstrom
-1.303 3.480 -2.357
-2.829 -3.259 0.861
-2.202 3.660 6.620
ATOMIC_POSITIONS crystal
La 0.000 0.000 0.000
Pd 0.333 0.667 0.740
As 0.667 0.333 0.746
Pd 0.667 0.333 0.260
Pm 0.000 0.000 0.500
As 0.333 0.667 0.254